DFT (PBE) results for a relaxed structure of AgAuF.

```
3
Lattice="-1.452 1.452 5.555 1.452 -1.452 5.555 1.452 1.452 -5.555" Properties=species:S:1:pos:R:3 pbc="T T T"
Ag 0.000 0.000 0.000
Au 0.000 0.000 3.485
F 0.000 0.000 7.012
```

Values from the calculation:
Symmetry: I4mm, No. 107
E_form (uncorrected) (eV/atom): -0.5329
Calculated volume (Å³/cell): 46.9
Energy (eV/atom): -3.20